This record from Alexandria describes crystalline HfCuPd4 at its relaxed geometry. The functional is PBE.

Summary:
Raw total energy, eV per atom: -6.295
ΔH_f (0 K), eV/atom: -0.491
Crystal system: monoclinic
Theoretical density, g/cm³: 11.770
M_tot, μB per atom: 0.00

a = 4.749 Å, b = 8.724 Å, c = 4.726 Å
α = 90.00°, β = 74.19°, γ = 90.00°
Fractional coordinates of all 12 atoms:
Hf 0.500 0.500 0.000
Cu 0.500 0.000 0.500
Pd 0.000 0.164 0.500
Cu 0.000 0.500 0.500
Pd 0.500 0.664 0.500
Pd 0.500 0.840 0.000
Hf 0.000 0.000 0.000
Pd 0.500 0.336 0.500
Pd 0.000 0.836 0.500
Pd 0.000 0.340 0.000
Pd 0.000 0.660 0.000
Pd 0.500 0.160 0.000

---

This record from Alexandria describes crystalline Ac2Si2Ir at its relaxed geometry. The functional is PBE.

Summary:
Raw total energy, eV per atom: -6.333
Formation energy (no corrections), meV per atom: -748
Crystal system: monoclinic
Theoretical density, g/cm³: 9.198
E above lowest polymorph, meV/atom: 0.0
M_tot, μB per atom: 0.00

a = 4.321 Å, b = 6.229 Å, c = 10.310 Å
α = 81.43°, β = 77.90°, γ = 69.71°
Fractional coordinates of all 10 atoms:
Si 0.033 0.346 0.587
Ac 0.109 0.680 0.102
Ac 0.891 0.320 0.898
Ir 0.550 0.211 0.690
Ac 0.286 0.787 0.642
Si 0.967 0.654 0.413
Ir 0.450 0.789 0.310
Si 0.401 0.084 0.114
Ac 0.714 0.213 0.358
Si 0.599 0.916 0.886

---

This record from Alexandria describes crystalline ThBeCu at its relaxed geometry. The functional is PBE.

Summary:
Raw total energy, eV per atom: -4.824
ΔH_f (0 K), eV/atom: 0.257
Crystal system: orthorhombic
Theoretical density, g/cm³: 8.450
E above lowest polymorph, meV/atom: 297.1
M_tot, μB per atom: 0.00

a = 4.136 Å, b = 7.075 Å, c = 8.801 Å
α = 86.06°, β = 76.41°, γ = 73.00°
Fractional coordinates of all 12 atoms:
Cu 0.597 0.000 0.806
Th 0.124 0.751 0.000
Cu 0.403 0.000 0.194
Th 0.876 0.249 0.000
Th 0.874 0.251 0.500
Cu 0.347 0.500 0.306
Cu 0.153 0.500 0.694
Be 0.614 0.500 0.773
Be 0.886 0.500 0.227
Be 0.136 0.000 0.727
Be 0.864 0.000 0.273
Th 0.626 0.749 0.500